Record 1
## Dy4CO2 (PBE-GGA)

Data for a relaxed Dy4CO2 crystal.

Lattice parameters (Å, degrees): 7.1170 7.1170 10.0896 90.00 90.00 90.00
Element x y z (fractional)
1 C 0.0000 0.7448 0.5000
2 C 0.2552 0.0000 0.7500
3 C 0.7448 0.0000 0.2500
4 C 0.0000 0.2552 0.0000
5 O 0.7697 0.7697 0.8750
6 O 0.2303 0.7697 0.1250
7 O 0.7697 0.2303 0.6250
8 O 0.2303 0.2303 0.3750
9 O 0.7477 0.5000 0.2500
10 O 0.5000 0.2523 0.0000
11 O 0.5000 0.7477 0.5000
12 O 0.2523 0.5000 0.7500
13 Dy 0.2578 0.9779 0.5053
14 Dy 0.7422 0.9779 0.4947
15 Dy 0.0221 0.2578 0.7553
16 Dy 0.7422 0.0221 0.0053
17 Dy 0.2576 0.5057 0.9991
18 Dy 0.4943 0.2576 0.2491
19 Dy 0.5057 0.7424 0.7491
20 Dy 0.2576 0.4943 0.5009
21 Dy 0.7424 0.5057 0.0009
22 Dy 0.7424 0.4943 0.4991
23 Dy 0.5057 0.2576 0.7509
24 Dy 0.4943 0.7424 0.2509
25 Dy 0.9779 0.2578 0.2447
26 Dy 0.2578 0.0221 0.9947
27 Dy 0.9779 0.7422 0.2553
28 Dy 0.0221 0.7422 0.7447

## Properties
Total moment, μB/f.u.: 0.3
Space-group type: P4_122, No. 91
Electronic total energy, eV per atom: -7.05
Formation energy from raw total energies, eV/atom: -1.686

---

Record 2
## DyCO4 (PBE-GGA)

Data for a relaxed DyCO4 crystal.

Lattice parameters (Å, degrees): 9.6909 12.0606 12.0606 120.00 90.00 90.00
Element x y z (fractional)
1 Dy 0.7452 0.4448 0.5469
2 Dy 0.7452 0.4531 0.8979
3 Dy 0.7452 0.1021 0.5552
4 Dy 0.2548 0.4448 0.5469
5 Dy 0.2548 0.4531 0.8979
6 Dy 0.2548 0.1021 0.5552
7 Dy 0.7602 0.1125 0.2305
8 Dy 0.7602 0.7695 0.8820
9 Dy 0.7602 0.1180 0.8875
10 Dy 0.2398 0.1125 0.2305
11 Dy 0.2398 0.7695 0.8820
12 Dy 0.2398 0.1180 0.8875
13 Dy 0.7429 0.7796 0.5632
14 Dy 0.7429 0.4368 0.2164
15 Dy 0.7429 0.7836 0.2204
16 Dy 0.2571 0.7796 0.5632
17 Dy 0.2571 0.4368 0.2164
18 Dy 0.2571 0.7836 0.2204
19 C 0.5000 0.1999 0.0215
20 C 0.5000 0.9785 0.1784
21 C 0.5000 0.8216 0.8001
22 C 0.5000 0.2385 0.4622
23 C 0.5000 0.5378 0.7763
24 C 0.5000 0.2237 0.7615
25 C 0.5000 0.5525 0.4254
26 C 0.5000 0.5746 0.1271
27 C 0.5000 0.8729 0.4475
28 C 0.0000 0.2045 0.0927
29 C 0.0000 0.9073 0.1118
30 C 0.0000 0.8882 0.7955
31 C 0.0000 0.4927 0.3542
32 C 0.0000 0.6458 0.1385
33 C 0.0000 0.8615 0.5073
34 C 0.0000 0.3051 0.4696
35 C 0.0000 0.5304 0.8355
36 C 0.0000 0.1645 0.6949
37 O 0.5000 0.0964 0.9103
38 O 0.5000 0.0897 0.1861
39 O 0.5000 0.8139 0.9036
40 O 0.6168 0.2496 0.0737
41 O 0.6168 0.9263 0.1758
42 O 0.6168 0.8242 0.7504
43 O 0.3832 0.2496 0.0737
44 O 0.3832 0.9263 0.1758
45 O 0.3832 0.8242 0.7504
46 O 0.5000 0.3621 0.5157
47 O 0.5000 0.4843 0.8464
48 O 0.5000 0.1536 0.6379
49 O 0.6165 0.1780 0.4360
50 O 0.6165 0.5640 0.7420
51 O 0.6165 0.2580 0.8220
52 O 0.3835 0.1780 0.4360
53 O 0.3835 0.5640 0.7420
54 O 0.3835 0.2580 0.8220
55 O 0.5000 0.4931 0.3019
56 O 0.5000 0.6981 0.1912
57 O 0.5000 0.8088 0.5069
58 O 0.6161 0.5818 0.4868
59 O 0.6161 0.5132 0.0950
60 O 0.6161 0.9050 0.4182
61 O 0.3839 0.5818 0.4868
62 O 0.3839 0.5132 0.0950
63 O 0.3839 0.9050 0.4182
64 O 0.0000 0.1452 0.9688
65 O 0.0000 0.0312 0.1763
66 O 0.0000 0.8237 0.8548
67 O 0.1167 0.2333 0.1530
68 O 0.1167 0.8470 0.0803
69 O 0.1167 0.9197 0.7667
70 O 0.8833 0.2333 0.1530
71 O 0.8833 0.8470 0.0803
72 O 0.8833 0.9197 0.7667
73 O 0.0000 0.4827 0.2417
74 O 0.0000 0.7583 0.2410
75 O 0.0000 0.7590 0.5173
76 O 0.1175 0.4957 0.4058
77 O 0.1175 0.5942 0.0899
78 O 0.1175 0.9101 0.5043
79 O 0.8825 0.4957 0.4058
80 O 0.8825 0.5942 0.0899
81 O 0.8825 0.9101 0.5043
82 O 0.0000 0.4161 0.5730
83 O 0.0000 0.4270 0.8432
84 O 0.0000 0.1568 0.5839
85 O 0.1169 0.2537 0.4193
86 O 0.1169 0.5807 0.8344
87 O 0.1169 0.1656 0.7463
88 O 0.8831 0.2537 0.4193
89 O 0.8831 0.5807 0.8344
90 O 0.8831 0.1656 0.7463
91 O 0.7553 0.3333 0.6667
92 O 0.2447 0.3333 0.6667
93 O 0.7453 0.0000 0.0000
94 O 0.2547 0.0000 0.0000
95 O 0.7499 0.6667 0.3333
96 O 0.2501 0.6667 0.3333
97 O 0.8043 0.6604 0.6610
98 O 0.8043 0.3390 0.9994
99 O 0.8043 0.0006 0.3396
100 O 0.1957 0.6604 0.6610
101 O 0.1957 0.3390 0.9994
102 O 0.1957 0.0006 0.3396
103 O 0.6942 0.9986 0.6731
104 O 0.6942 0.3269 0.3256
105 O 0.6942 0.6744 0.0014
106 O 0.3058 0.9986 0.6731
107 O 0.3058 0.3269 0.3256
108 O 0.3058 0.6744 0.0014

## Properties
Total moment, μB/f.u.: 1.0
Space-group type: P-6, No. 174
E above lowest polymorph, meV/atom: 0
Electronic total energy, eV per atom: -7.67
Formation energy from raw total energies, eV/atom: -2.063

---

Record 3
## DyCO4 (PBE-GGA)

Data for a relaxed DyCO4 crystal.

Lattice parameters (Å, degrees): 3.8588 5.5624 9.3745 90.00 91.05 90.00
Element x y z (fractional)
1 Dy 0.2478 0.7500 0.4463
2 Dy 0.7522 0.2500 0.5537
3 C 0.9861 0.7500 0.9029
4 C 0.0139 0.2500 0.0971
5 O 0.1779 0.7500 0.0022
6 O 0.8221 0.2500 0.9978
7 O 0.7907 0.7500 0.8057
8 O 0.2093 0.2500 0.1943
9 O 0.2549 0.0459 0.6091
10 O 0.7451 0.5459 0.3909
11 O 0.2549 0.4541 0.6091
12 O 0.7451 0.9541 0.3909

## Properties
Total moment, μB/f.u.: 1.0
Space-group type: P2_1/m, No. 11
E above lowest polymorph, meV/atom: 221
Electronic total energy, eV per atom: -7.45
Formation energy from raw total energies, eV/atom: -1.842